# Sc2GaGeAs | Alexandria | PBE-GGA | relaxed
data_Sc2GaGeAs
_space_group_name_H-M_alt 'P 4/m m m'
_space_group_IT_number 123
_space_group_name_Hall '-P 4 2'
_cell_length_a 5.029
_cell_length_b 5.029
_cell_length_c 4.933
_cell_angle_alpha 90.00
_cell_angle_beta 90.00
_cell_angle_gamma 90.00
loop_
_atom_site_label
_atom_site_type_symbol
_atom_site_fract_x
_atom_site_fract_y
_atom_site_fract_z
Sc1 Sc 0.000 0.500 0.000
Ga1 Ga 0.000 0.000 0.500
Ge1 Ge 0.500 0.500 0.500
As1 As 0.500 0.500 0.000
# DFT formation energy	-0.043	eV/atom
# M_tot	0.0	μB/cell
# crystal system	tetragonal

# GaGeAsSe2 | Alexandria | PBE-GGA | relaxed
data_GaGeAsSe2
_space_group_name_H-M_alt 'P 4/m m m'
_space_group_IT_number 123
_space_group_name_Hall '-P 4 2'
_cell_length_a 5.087
_cell_length_b 5.087
_cell_length_c 4.947
_cell_angle_alpha 90.00
_cell_angle_beta 90.00
_cell_angle_gamma 90.00
loop_
_atom_site_label
_atom_site_type_symbol
_atom_site_fract_x
_atom_site_fract_y
_atom_site_fract_z
Ga1 Ga 0.000 0.000 0.000
Ge1 Ge 0.500 0.500 0.500
As1 As 0.500 0.500 0.000
Se1 Se 0.000 0.500 0.500
# M_tot	0.0	μB/cell
# formation energy without anion corrections	393	meV per atom
# crystal system	tetragonal

# GaGeAs2Se | Alexandria | PBE-GGA | relaxed
data_GaGeAs2Se
_space_group_name_H-M_alt 'P 4/m m m'
_space_group_IT_number 123
_space_group_name_Hall '-P 4 2'
_cell_length_a 4.973
_cell_length_b 4.973
_cell_length_c 5.092
_cell_angle_alpha 90.00
_cell_angle_beta 90.00
_cell_angle_gamma 90.00
loop_
_atom_site_label
_atom_site_type_symbol
_atom_site_fract_x
_atom_site_fract_y
_atom_site_fract_z
Ga1 Ga 0.000 0.000 0.000
Ge1 Ge 0.500 0.500 0.500
As1 As 0.000 0.500 0.500
Se1 Se 0.500 0.500 0.000
# M_tot	0.0	μB/cell
# formation energy without anion corrections	553	meV per atom
# crystal system	tetragonal

# Sr2GaGeAs | Alexandria | PBE-GGA | relaxed
data_Sr2GaGeAs
_space_group_name_H-M_alt 'P 1 21/m 1'
_space_group_IT_number 11
_cell_length_a 7.644
_cell_length_b 4.317
_cell_length_c 9.539
_cell_angle_alpha 90.00
_cell_angle_beta 107.41
_cell_angle_gamma 90.00
loop_
_space_group_symop_operation_xyz
'x,y,z'
'-x,-y,-z'
'-x,y+1/2,-z'
'x,-y+1/2,z'
loop_
_atom_site_label
_atom_site_type_symbol
_atom_site_fract_x
_atom_site_fract_y
_atom_site_fract_z
Sr1 Sr 0.185 0.250 0.405
Sr2 Sr 0.236 0.250 0.966
Ga1 Ga 0.497 0.250 0.731
Ge1 Ge 0.308 0.750 0.698
As1 As 0.173 0.750 0.177
# DFT formation energy	-0.708	eV/atom
# M_tot	0.0	μB/cell
# crystal system	monoclinic

# GaGeAs2W | Alexandria | PBE-GGA | relaxed
data_GaGeAs2W
_space_group_name_H-M_alt 'P 4/m m m'
_space_group_IT_number 123
_space_group_name_Hall '-P 4 2'
_cell_length_a 4.880
_cell_length_b 4.880
_cell_length_c 5.003
_cell_angle_alpha 90.00
_cell_angle_beta 90.00
_cell_angle_gamma 90.00
loop_
_atom_site_label
_atom_site_type_symbol
_atom_site_fract_x
_atom_site_fract_y
_atom_site_fract_z
Ga1 Ga 0.000 0.000 0.000
Ge1 Ge 0.500 0.500 0.000
As1 As 0.000 0.500 0.500
W1 W 0.000 0.000 0.500
# DFT formation energy	0.607	eV/atom
# M_tot	0.0	μB/cell
# crystal system	tetragonal

# ZnGa2GeAs | Alexandria | PBE-GGA | relaxed
data_ZnGa2GeAs
_space_group_name_H-M_alt 'P 4/m m m'
_space_group_IT_number 123
_space_group_name_Hall '-P 4 2'
_cell_length_a 4.771
_cell_length_b 4.771
_cell_length_c 4.996
_cell_angle_alpha 90.00
_cell_angle_beta 90.00
_cell_angle_gamma 90.00
loop_
_atom_site_label
_atom_site_type_symbol
_atom_site_fract_x
_atom_site_fract_y
_atom_site_fract_z
Zn1 Zn 0.000 0.000 0.000
Ga1 Ga 0.000 0.500 0.000
Ge1 Ge 0.500 0.500 0.500
As1 As 0.000 0.000 0.500
# DFT formation energy	0.496	eV/atom
# M_tot	0.0	μB/cell
# crystal system	tetragonal